{
  "formula": "GaRePt3",
  "functional": "PBE",
  "state": "relaxed",
  "rho_g_cm3": 12.1,
  "ef_mev_per_atom": 1048,
  "magmom_total_mub_per_cell": 0.0,
  "dos_at_fermi_per_ev_cell": 4.23,
  "cell": [[-3.430, 3.336, -0.913], [-1.675, -2.728, -3.671], [-3.026, -2.271, 3.068]],
  "species": ["Re", "Ga", "Pt", "Pt", "Pt"],
  "frac_coords": [[0.000, 0.000, 0.000], [0.500, 0.500, 0.500], [0.000, 0.500, 0.000], [0.000, 0.000, 0.500], [0.500, 0.000, 0.000]]
}